The following is a DFT calculation (GGA-PBE) of a relaxed LaZr2SbO8 crystal.

Formation energy (no corrections) ... -2.76 eV per atom
DOS(E_F) ... 0.000 states/eV per cell
Space group ... No. 65
Total energy ... -8.243 eV per atom

a b c (Å): 4.9685 4.9697 6.8095
angles (deg): 90.00 90.00 88.71
With the nearest neighbours (Å) after each atom.
Fractional positions:
O1 0.2937 0.2930 0.0000  1 Sb 2.08, 2 Zr 2.22
La1 0.0000 0.0000 0.5000  6 O 2.32-2.40
Zr1 0.5000 0.5000 0.2450  6 O 2.10-2.22
Sb1 0.0000 0.0000 0.0000  6 O 2.00-2.08
O2 0.1988 0.8003 0.7881  1 Sb 2.00, 1 Zr 2.10
O3 0.3268 0.3258 0.5000  2 Zr 2.13, 1 La 2.32
O4 0.8011 0.1996 0.7881  1 Sb 2.00, 1 Zr 2.10
O5 0.8012 0.1997 0.2119  1 Sb 2.00, 1 Zr 2.10
O6 0.6732 0.6742 0.5000  2 Zr 2.13, 1 La 2.32
Zr2 0.5000 0.5000 0.7550  6 O 2.10-2.22
O7 0.1989 0.8004 0.2119  1 Sb 2.00, 1 Zr 2.10
O8 0.7063 0.7070 0.0000  1 Sb 2.08, 2 Zr 2.22



The following is a DFT calculation (GGA-PBE) of a relaxed CaMg6Au12 crystal.

DOS(E_F) ... 5.805 states/eV per cell
Space group ... No. 166
Total energy ... -3.091 eV per atom
ΔE_f ... -412 meV/atom

a b c (Å): 7.6862 7.6862 7.6862
angles (deg): 106.12 106.12 106.12
With the nearest neighbours (Å) after each atom.
Fractional positions:
Au1 0.3641 0.3641 0.1220  4 Mg 2.84-2.97, 4 Au 2.88-2.97, 1 Ca 3.05
Au2 0.8843 0.1157 0.5000  4 Mg 2.71-2.78, 3 Au 2.84-2.88
Au3 0.3641 0.1220 0.3641  4 Mg 2.84-2.97, 4 Au 2.88-2.97, 1 Ca 3.05
Mg1 0.7107 0.7107 0.2973  8 Au 2.71-2.97
Mg2 0.2893 0.7027 0.2893  8 Au 2.71-2.97
Au4 0.1157 0.5000 0.8843  4 Mg 2.71-2.78, 3 Au 2.84-2.88
Ca1 0.0000 0.0000 0.0000  6 Au 3.05
Au5 0.6359 0.6359 0.8780  4 Mg 2.84-2.97, 4 Au 2.88-2.97, 1 Ca 3.05
Au6 0.1220 0.3641 0.3641  4 Mg 2.84-2.97, 4 Au 2.88-2.97, 1 Ca 3.05
Au7 0.8843 0.5000 0.1157  4 Mg 2.71-2.78, 3 Au 2.84-2.88
Mg3 0.7107 0.2973 0.7107  8 Au 2.71-2.97
Au8 0.5000 0.8843 0.1157  4 Mg 2.71-2.78, 3 Au 2.84-2.88
Mg4 0.7027 0.2893 0.2893  8 Au 2.71-2.97
Mg5 0.2893 0.2893 0.7027  8 Au 2.71-2.97
Au9 0.6359 0.8780 0.6359  4 Mg 2.84-2.97, 4 Au 2.88-2.97, 1 Ca 3.05
Mg6 0.2973 0.7107 0.7107  8 Au 2.71-2.97
Au10 0.1157 0.8843 0.5000  4 Mg 2.71-2.78, 3 Au 2.84-2.88
Au11 0.8780 0.6359 0.6359  4 Mg 2.84-2.97, 4 Au 2.88-2.97, 1 Ca 3.05
Au12 0.5000 0.1157 0.8843  4 Mg 2.71-2.78, 3 Au 2.84-2.88



The following is a DFT calculation (GGA-PBE) of a relaxed TiAlPdRh2 crystal.

DOS(E_F) ... 9.397 states/eV per cell
Space group ... No. 123
Total energy ... -5.410 eV per atom
ΔE_f ... 897 meV/atom

a b c (Å): 4.8322 4.3018 4.8322
angles (deg): 90.00 90.00 90.00
With the nearest neighbours (Å) after each atom.
Fractional positions:
Rh1 0.0000 0.0000 0.5000  2 Pd 2.42
Rh2 0.5000 0.0000 0.0000  2 Pd 2.42
Pd1 0.0000 0.0000 0.0000  2 Al 2.15
Ti1 0.5000 0.5000 0.5000  8 Rh 3.23, 4 Al 3.42
Al1 0.0000 0.5000 0.0000  2 Pd 2.15



The following is a DFT calculation (GGA-PBE) of a relaxed Tb3Pm2Sm8 crystal.

DOS(E_F) ... 19.644 states/eV per cell
Space group ... No. 2
E above lowest polymorph ... 0.00 eV/f.u.
Total energy ... -4.687 eV per atom
ΔE_f ... 16 meV/atom

a b c (Å): 6.2662 6.2624 12.0023
angles (deg): 69.60 85.01 80.44
With the nearest neighbours (Å) after each atom.
Fractional positions:
Sm1 0.0779 0.3867 0.1521  6 Sm 3.58-3.62, 5 Tb 3.60-3.62, 1 Pm 3.63
Sm2 0.6920 0.4631 0.3831  1 Tb 3.61, 7 Sm 3.61-3.66, 4 Pm 3.62-3.63
Sm3 0.3833 0.9211 0.7715  4 Tb 3.58-3.61, 6 Sm 3.61-3.62, 2 Pm 3.64-3.65
Pm1 0.2306 0.1546 0.4611  10 Sm 3.62-3.65, 2 Pm 3.62
Tb1 0.4615 0.3062 0.9241  8 Sm 3.58-3.62, 4 Tb 3.60-3.61
Pm2 0.7694 0.8454 0.5389  10 Sm 3.62-3.65, 2 Pm 3.62
Sm4 0.9221 0.6133 0.8479  6 Sm 3.58-3.62, 5 Tb 3.60-3.62, 1 Pm 3.63
Tb2 0.0000 0.0000 0.0000  8 Sm 3.60-3.61, 4 Tb 3.61
Tb3 0.5385 0.6938 0.0759  8 Sm 3.58-3.62, 4 Tb 3.60-3.61
Sm5 0.1549 0.7713 0.3056  2 Tb 3.60-3.61, 7 Sm 3.61-3.66, 3 Pm 3.62-3.64
Sm6 0.6167 0.0789 0.2285  4 Tb 3.58-3.61, 6 Sm 3.61-3.62, 2 Pm 3.64-3.65
Sm7 0.8451 0.2287 0.6944  2 Tb 3.60-3.61, 7 Sm 3.61-3.66, 3 Pm 3.62-3.64
Sm8 0.3080 0.5369 0.6169  1 Tb 3.61, 7 Sm 3.61-3.66, 4 Pm 3.62-3.63



The following is a DFT calculation (GGA-PBE) of a relaxed La3PmPt3 crystal.

DOS(E_F) ... 20.566 states/eV per cell
Space group ... No. 62
E above lowest polymorph ... 0.00 eV/f.u.
Total energy ... -6.407 eV per atom
ΔE_f ... -1027 meV/atom

a b c (Å): 4.2357 12.5936 14.5934
angles (deg): 90.00 90.00 90.00
With the nearest neighbours (Å) after each atom.
Fractional positions:
La1 0.7500 0.4486 0.8999  5 Pt 2.95-3.22
Pm1 0.2500 0.0232 0.8135  4 Pt 2.89-3.21
La2 0.2500 0.2514 0.1964  5 Pt 3.00-3.10
La3 0.2500 0.5514 0.1001  5 Pt 2.95-3.22
Pt1 0.7500 0.4454 0.5693  2 Pm 2.89, 4 La 2.97-3.10, 2 Pt 3.24
La4 0.2500 0.3176 0.4791  6 Pt 2.97-3.20
La5 0.2500 0.8176 0.0209  6 Pt 2.97-3.20
Pt2 0.2500 0.1113 0.6067  6 La 2.95-3.20, 1 Pm 3.21
La6 0.7500 0.2486 0.6964  5 Pt 3.00-3.10
Pt3 0.7500 0.7309 0.1592  6 La 3.00-3.22, 1 Pm 3.12
Pm2 0.2500 0.5232 0.6865  4 Pt 2.89-3.21
Pm3 0.7500 0.9768 0.1865  4 Pt 2.89-3.21
La7 0.2500 0.0514 0.3999  5 Pt 2.95-3.22
Pt4 0.7500 0.9454 0.9307  2 Pm 2.89, 4 La 2.97-3.10, 2 Pt 3.24
Pt5 0.2500 0.6113 0.8933  6 La 2.95-3.20, 1 Pm 3.21
Pt6 0.7500 0.2309 0.3408  6 La 3.00-3.22, 1 Pm 3.12
Pt7 0.2500 0.0546 0.0693  2 Pm 2.89, 4 La 2.97-3.10, 2 Pt 3.24
Pm4 0.7500 0.4768 0.3135  4 Pt 2.89-3.21
La8 0.7500 0.9486 0.6001  5 Pt 2.95-3.22
La9 0.2500 0.7514 0.3036  5 Pt 3.00-3.10
La10 0.7500 0.7486 0.8036  5 Pt 3.00-3.10
Pt8 0.2500 0.7691 0.6592  6 La 3.00-3.22, 1 Pm 3.12
Pt9 0.7500 0.3887 0.1067  6 La 2.95-3.20, 1 Pm 3.21
Pt10 0.7500 0.8887 0.3933  6 La 2.95-3.20, 1 Pm 3.21
La11 0.7500 0.1824 0.9791  6 Pt 2.97-3.20
Pt11 0.2500 0.2691 0.8408  6 La 3.00-3.22, 1 Pm 3.12
Pt12 0.2500 0.5546 0.4307  2 Pm 2.89, 4 La 2.97-3.10, 2 Pt 3.24
La12 0.7500 0.6824 0.5209  6 Pt 2.97-3.20



The following is a DFT calculation (GGA-PBE) of a relaxed LuSc2Nb crystal.

DOS(E_F) ... 4.649 states/eV per cell
Space group ... No. 123
E above lowest polymorph ... 0.00 eV/f.u.
Total energy ... -6.669 eV per atom
ΔE_f ... 144 meV/atom

a b c (Å): 3.6667 3.6667 6.9441
angles (deg): 90.00 90.00 90.00
With the nearest neighbours (Å) after each atom.
Fractional positions:
Sc1 0.0000 0.0000 0.7896  1 Sc 2.92, 4 Nb 2.98
Nb1 0.5000 0.5000 0.0000  8 Sc 2.98
Sc2 0.0000 0.0000 0.2104  1 Sc 2.92, 4 Nb 2.98
Lu1 0.5000 0.5000 0.5000  8 Sc 3.28, 2 Nb 3.47, 4 Lu 3.67



The following is a DFT calculation (GGA-PBE) of a relaxed Pr2CdCu2 crystal.

DOS(E_F) ... 3.927 states/eV per cell
Space group ... No. 65
Total energy ... -3.986 eV per atom
ΔE_f ... -253 meV/atom

a b c (Å): 3.8101 4.2885 7.6202
angles (deg): 106.34 90.00 90.00
With the nearest neighbours (Å) after each atom.
Fractional positions:
Cd1 0.0000 0.0000 0.0000  2 Cu 2.97
Pr1 0.5000 0.3665 0.7330  6 Cu 3.04-3.06
Cu1 0.0000 0.2029 0.4057  2 Cu 2.55
Pr2 0.5000 0.6335 0.2670  6 Cu 3.04-3.06
Cu2 0.0000 0.7971 0.5943  2 Cu 2.55



The following is a DFT calculation (GGA-PBE) of a relaxed Pa2SiGe crystal.

Formation energy (no corrections) ... -0.36 eV per atom
DOS(E_F) ... 5.654 states/eV per cell
Space group ... No. 166
E above lowest polymorph ... 0.32 eV/f.u.
Total energy ... -7.622 eV per atom

a b c (Å): 4.5903 4.5903 5.6136
angles (deg): 65.87 65.87 60.00
With the nearest neighbours (Å) after each atom.
Fractional positions:
Pa1 0.7522 0.7522 0.7435  3 Si 2.91, 3 Ge 2.94
Pa2 0.2478 0.2478 0.2565  3 Si 2.91, 3 Ge 2.94
Ge1 0.0000 0.0000 0.0000  6 Pa 2.94
Si1 0.5000 0.5000 0.5000  6 Pa 2.91



The following is a DFT calculation (GGA-PBE) of a relaxed As2PbW crystal.

DOS(E_F) ... 1.849 states/eV per cell
Space group ... No. 44
Total energy ... -6.265 eV per atom
ΔE_f ... 225 meV/atom

a b c (Å): 8.0418 8.0418 8.0418
angles (deg): 156.53 154.61 34.85
With the nearest neighbours (Å) after each atom.
Fractional positions:
W1 0.2069 0.7069 0.5000  6 As 2.50-2.62
As1 0.7746 0.2746 0.5000  4 W 2.62
Pb1 0.4350 0.4350 0.0000  6 As 3.03-3.31, 2 Pb 3.27
As2 0.0835 0.0835 0.0000  2 W 2.50



The following is a DFT calculation (GGA-PBE) of a relaxed Zr2Cr2Ru crystal.

DOS(E_F) ... 11.640 states/eV per cell
Space group ... No. 127
Total energy ... -9.076 eV per atom
ΔE_f ... 48 meV/atom

a b c (Å): 6.2072 6.2072 4.3956
angles (deg): 90.00 90.00 90.00
With the nearest neighbours (Å) after each atom.
Fractional positions:
Cr1 0.6221 0.1221 0.0000  1 Cr 2.14
Zr1 0.1796 0.6796 0.5000  6 Cr 2.80-2.91
Zr2 0.3204 0.1796 0.5000  6 Cr 2.80-2.91
Cr2 0.3779 0.8779 0.0000  1 Cr 2.14
Zr3 0.8204 0.3204 0.5000  6 Cr 2.80-2.91
Zr4 0.6796 0.8204 0.5000  6 Cr 2.80-2.91
Ru1 0.0000 0.0000 0.0000  4 Cr 2.47
Cr3 0.1221 0.3779 0.0000  1 Cr 2.14
Cr4 0.8779 0.6221 0.0000  1 Cr 2.14
Ru2 0.5000 0.5000 0.0000  4 Cr 2.47



The following is a DFT calculation (GGA-PBE) of a relaxed HoScCdGa crystal.

DOS(E_F) ... 3.965 states/eV per cell
Space group ... No. 216
E above lowest polymorph ... 0.10 eV/f.u.
Total energy ... -4.141 eV per atom
ΔE_f ... -428 meV/atom

a b c (Å): 5.0147 5.0147 5.0147
angles (deg): 60.00 60.00 60.00
With the nearest neighbours (Å) after each atom.
Fractional positions:
Ga1 0.7500 0.7500 0.7500  4 Ho 3.07, 4 Sc 3.07
Ho1 0.0000 0.0000 0.0000  4 Cd 3.07, 4 Ga 3.07
Cd1 0.2500 0.2500 0.2500  4 Sc 3.07, 4 Ho 3.07
Sc1 0.5000 0.5000 0.5000  4 Cd 3.07, 4 Ga 3.07



The following is a DFT calculation (GGA-PBE) of a relaxed Cs2KH4 crystal.

DOS(E_F) ... 7.568 states/eV per cell
Space group ... No. 139
Total energy ... -2.155 eV per atom

a b c (Å): 4.9656 4.9656 8.5832
angles (deg): 73.19 73.19 90.00
With the nearest neighbours (Å) after each atom.
Fractional positions:
H1 0.8271 0.8271 0.3458  1 K 2.71, 1 Cs 2.95
Cs1 0.3612 0.3612 0.2775  5 H 2.95-3.30
K1 0.0000 0.0000 0.0000  6 H 2.48-2.71
H2 0.0000 0.5000 0.0000  2 K 2.48
H3 0.1729 0.1729 0.6542  1 K 2.71, 1 Cs 2.95
H4 0.5000 0.0000 0.0000  2 K 2.48
Cs2 0.6388 0.6388 0.7225  5 H 2.95-3.30



Repeat the sixth record exactly.
The following is a DFT calculation (GGA-PBE) of a relaxed LuSc2Nb crystal.

DOS(E_F) ... 4.649 states/eV per cell
Space group ... No. 123
E above lowest polymorph ... 0.00 eV/f.u.
Total energy ... -6.669 eV per atom
ΔE_f ... 144 meV/atom

a b c (Å): 3.6667 3.6667 6.9441
angles (deg): 90.00 90.00 90.00
With the nearest neighbours (Å) after each atom.
Fractional positions:
Sc1 0.0000 0.0000 0.7896  1 Sc 2.92, 4 Nb 2.98
Nb1 0.5000 0.5000 0.0000  8 Sc 2.98
Sc2 0.0000 0.0000 0.2104  1 Sc 2.92, 4 Nb 2.98
Lu1 0.5000 0.5000 0.5000  8 Sc 3.28, 2 Nb 3.47, 4 Lu 3.67